No. 1
DFT (PBE) results for crystalline LiZrI3 at its relaxed geometry.

For the volume, the calculation gives 197.33 Å³/f.u. The uncorrected formation energy comes out at -449 meV per atom.

The space group is Pm-3m (No. 221) and the conventional cell measures 5.8219, 5.8219 and 5.8219 Å, with angles of 90.00, 90.00 and 90.00 degrees. The inequivalent atoms are Li at (0.0000, 0.0000, 0.0000), Zr at (0.5000, 0.5000, 0.5000) and I at (0.0000, 0.5000, 0.5000).


No. 2
DFT (PBE) results for crystalline LaTiTcPb2 at its relaxed geometry.

The formation energy comes out at 0.9480 eV/atom. For the volume, the calculation gives 150.90 Å³/f.u.

The space group is P4/mmm (No. 123) and the conventional cell measures 5.3581, 5.3581 and 5.2563 Å, with angles of 90.00, 90.00 and 90.00 degrees. The inequivalent atoms are La at (0.0000, 0.0000, 0.0000), Ti at (0.0000, 0.0000, 0.5000), Tc at (0.5000, 0.5000, 0.0000) and Pb at (0.0000, 0.5000, 0.5000).


No. 3
DFT (PBE) results for crystalline NaBrN2O at its relaxed geometry.

For the volume, the calculation gives 67.44 Å³/f.u. The uncorrected formation energy comes out at 1524 meV per atom.

The space group is P4/mmm (No. 123) and the conventional cell measures 4.0400, 4.0400 and 4.1321 Å, with angles of 90.00, 90.00 and 90.00 degrees. The inequivalent atoms are Na at (0.0000, 0.0000, 0.0000), Br at (0.5000, 0.5000, 0.5000), N at (0.0000, 0.5000, 0.5000) and O at (0.5000, 0.5000, 0.0000).


No. 4
DFT (PBE) results for crystalline Al2CdCu2 at its relaxed geometry.

The formation energy comes out at 0.0468 eV/atom. For the volume, the calculation gives 83.51 Å³/f.u.

The space group is I4/mmm (No. 139) and the conventional cell measures 3.8136, 3.8136 and 11.4847 Å, with angles of 90.00, 90.00 and 90.00 degrees. The inequivalent atoms are Al at (0.0000, 0.5000, 0.2500), Cd at (0.0000, 0.0000, 0.0000) and Cu at (0.0000, 0.0000, 0.3926).


No. 5
DFT (PBE) results for crystalline SrLi2LaNi at its relaxed geometry.

The formation energy comes out at 0.0632 eV/atom. For the volume, the calculation gives 141.61 Å³/f.u.

The space group is P4/mmm (No. 123) and the conventional cell measures 5.3027, 5.3027 and 5.0360 Å, with angles of 90.00, 90.00 and 90.00 degrees. The inequivalent atoms are Sr at (0.0000, 0.0000, 0.0000), Li at (0.0000, 0.5000, 0.5000), La at (0.5000, 0.5000, 0.0000) and Ni at (0.5000, 0.5000, 0.5000).


No. 6
DFT (PBE) results for crystalline Sr3SeI at its relaxed geometry.

For the volume, the calculation gives 223.89 Å³/f.u. The uncorrected formation energy comes out at -836 meV per atom. As for the excess energy over the best structure of this formula in the dataset: 0 meV/atom.

The space group is Pm-3m (No. 221) and the conventional cell measures 6.0722, 6.0722 and 6.0722 Å, with angles of 90.00, 90.00 and 90.00 degrees. The inequivalent atoms are Sr at (0.0000, 0.0000, 0.5000), Se at (0.0000, 0.0000, 0.0000) and I at (0.5000, 0.5000, 0.5000).


No. 7
DFT (PBE) results for crystalline K4NdU3Te8 at its relaxed geometry.

For the volume, the calculation gives 590.43 Å³/f.u. The uncorrected formation energy comes out at -983 meV per atom.

The space group is R-3m (No. 166, hexagonal axes) and the conventional cell measures 9.0640, 9.0640 and 24.8949 Å, with angles of 90.00, 90.00 and 120.00 degrees. The inequivalent atoms are K at (0.0000, 0.0000, 0.0000), K at (0.0000, 0.5000, 0.0000), Nd at (0.0000, 0.0000, 0.5000), U at (0.0000, 0.5000, 0.5000), Te at (0.0000, 0.0000, 0.2369) and Te at (0.0043, 0.5022, 0.7621).


No. 8
DFT (PBE) results for crystalline Tm4Tl3Zn at its relaxed geometry.

The formation energy comes out at -0.2613 eV/atom. For the volume, the calculation gives 209.07 Å³/f.u. As for the excess energy over the best structure of this formula in the dataset: 56 meV/atom.

The space group is Pmm2 (No. 25) and the conventional cell measures 3.7731, 4.7128 and 11.7573 Å, with angles of 90.00, 90.00 and 90.00 degrees. The inequivalent atoms are Tm at (0.0000, 0.0000, 0.0000), Tm at (0.0000, 0.5000, 0.2913), Tm at (0.5000, 0.0000, 0.4777), Tm at (0.5000, 0.5000, 0.7988), Tl at (0.0000, 0.0000, 0.7320), Tl at (0.0000, 0.5000, 0.5566), Tl at (0.5000, 0.5000, 0.0662) and Zn at (0.5000, 0.0000, 0.2256).


No. 9
DFT (PBE) results for crystalline DyTm2Hg5 at its relaxed geometry.

The formation energy comes out at -0.4109 eV/atom. For the volume, the calculation gives 193.68 Å³/f.u.

The space group is I4/mmm (No. 139) and the conventional cell measures 5.1675, 5.1675 and 14.5060 Å, with angles of 90.00, 90.00 and 90.00 degrees. The inequivalent atoms are Dy at (0.0000, 0.0000, 0.0000), Tm at (0.0000, 0.0000, 0.2633), Hg at (0.0000, 0.0000, 0.5000) and Hg at (0.0000, 0.5000, 0.1268).


No. 10
DFT (PBE) results for crystalline LaCeH at its relaxed geometry.

For the volume, the calculation gives 64.11 Å³/f.u. As for the excess energy over the best structure of this formula in the dataset: 0 meV/atom.

The space group is P4/nmm (No. 129, origin choice 2) and the conventional cell measures 3.5846, 3.5846 and 9.9789 Å, with angles of 90.00, 90.00 and 90.00 degrees. The inequivalent atoms are La at (0.2500, 0.2500, 0.1416), Ce at (0.2500, 0.2500, 0.6083) and H at (0.2500, 0.2500, 0.8617).


No. 11
DFT (PBE) results for crystalline Pu2InF at its relaxed geometry.

For the volume, the calculation gives 85.73 Å³/f.u. The uncorrected formation energy comes out at -944 meV per atom. As for the excess energy over the best structure of this formula in the dataset: 0 meV/atom.

The space group is P4/mmm (No. 123) and the conventional cell measures 3.1067, 3.1067 and 8.8820 Å, with angles of 90.00, 90.00 and 90.00 degrees. The inequivalent atoms are Pu at (0.0000, 0.0000, 0.2199), In at (0.5000, 0.5000, 0.5000) and F at (0.5000, 0.5000, 0.0000).


No. 12
DFT (PBE) results for crystalline Li2SiPbO4 at its relaxed geometry.

For the volume, the calculation gives 98.05 Å³/f.u. The uncorrected formation energy comes out at -2157 meV per atom.

The space group is Pmn2_1 (No. 31) and the conventional cell measures 7.3455, 5.0685 and 5.2668 Å, with angles of 90.00, 90.00 and 90.00 degrees. The inequivalent atoms are Li at (0.2467, 0.1817, 0.0000), Si at (0.0000, 0.7130, 0.9878), Pb at (0.0000, 0.2752, 0.5305), O at (0.0000, 0.3833, 0.9785), O at (0.0000, 0.8037, 0.6829) and O at (0.1814, 0.8261, 0.1367).


No. 13
DFT (PBE) results for crystalline Sr2BiH3 at its relaxed geometry.

For the volume, the calculation gives 131.41 Å³/f.u. The total energy is -3.362 eV per atom.

The space group is C2/m (No. 12) and the conventional cell measures 14.2283, 3.8773 and 10.8662 Å, with angles of 90.00, 118.73 and 90.00 degrees. The inequivalent atoms are Sr at (0.0151, 0.0000, 0.2674), Sr at (0.1721, 0.5000, 0.0905), Bi at (0.1288, 0.5000, 0.5887), H at (0.0026, 0.5000, 0.1323), H at (0.1530, 0.0000, 0.2059) and H at (0.1631, 0.0000, 0.9382).


No. 14
DFT (PBE) results for crystalline K3Na at its relaxed geometry.

The formation energy comes out at 0.0191 eV/atom. For the volume, the calculation gives 249.79 Å³/f.u.

The space group is Imm2 (No. 44) and the conventional cell measures 4.8677, 14.3052 and 7.1743 Å, with angles of 90.00, 90.00 and 90.00 degrees. The inequivalent atoms are K at (0.0000, 0.0000, 0.0000), K at (0.0000, 0.2271, 0.5048) and Na at (0.0000, 0.5000, 0.9979).


No. 15
DFT (PBE) results for crystalline U2PaTi at its relaxed geometry.

The formation energy comes out at 0.2811 eV/atom. For the volume, the calculation gives 83.37 Å³/f.u. As for the excess energy over the best structure of this formula in the dataset: 140 meV/atom.

The space group is P4/mmm (No. 123) and the conventional cell measures 3.7213, 3.7213 and 6.0201 Å, with angles of 90.00, 90.00 and 90.00 degrees. The inequivalent atoms are U at (0.0000, 0.0000, 0.2253), Pa at (0.5000, 0.5000, 0.5000) and Ti at (0.5000, 0.5000, 0.0000).


No. 16
DFT (PBE) results for crystalline Y6SnTe5 at its relaxed geometry.

For the volume, the calculation gives 356.60 Å³/f.u. The uncorrected formation energy comes out at -1265 meV per atom.

The space group is C2/m (No. 12) and the conventional cell measures 7.5796, 13.1111 and 7.6044 Å, with angles of 90.00, 109.31 and 90.00 degrees. The inequivalent atoms are Y at (0.2405, 0.0000, 0.2542), Y at (0.2420, 0.1622, 0.7422), Sn at (0.0000, 0.0000, 0.5000), Te at (0.0000, 0.1705, 0.0000), Te at (0.0000, 0.3345, 0.5000) and Te at (0.0000, 0.5000, 0.0000).


No. 17
DFT (PBE) results for crystalline AlSO2 at its relaxed geometry.

For the volume, the calculation gives 41.78 Å³/f.u. The uncorrected formation energy comes out at 112 meV per atom. As for the excess energy over the best structure of this formula in the dataset: 1740 meV/atom.

The space group is Fm-3m (No. 225) and the conventional cell measures 5.5083, 5.5083 and 5.5083 Å, with angles of 90.00, 90.00 and 90.00 degrees. The inequivalent atoms are Al at (0.0000, 0.0000, 0.0000), S at (0.0000, 0.0000, 0.5000) and O at (0.2500, 0.2500, 0.2500).


No. 18
DFT (PBE) results for crystalline BaTl2Cu at its relaxed geometry.

The formation energy comes out at 0.0150 eV/atom. For the volume, the calculation gives 117.61 Å³/f.u.

The space group is P4mm (No. 99) and the conventional cell measures 3.8309, 3.8309 and 8.0137 Å, with angles of 90.00, 90.00 and 90.00 degrees. The inequivalent atoms are Ba at (0.0000, 0.0000, 0.0000), Tl at (0.0000, 0.0000, 0.4326), Tl at (0.5000, 0.5000, 0.6870) and Cu at (0.5000, 0.5000, 0.2823).


No. 19
DFT (PBE) results for crystalline AlAgC at its relaxed geometry.

The formation energy comes out at 0.2094 eV/atom. For the volume, the calculation gives 41.82 Å³/f.u.

The space group is P-1 (No. 2) and the conventional cell measures 3.0600, 3.0745 and 10.3990 Å, with angles of 90.11, 98.43 and 119.83 degrees. The inequivalent atoms are Al at (0.2190, 0.1089, 0.3299), Ag at (0.4113, 0.7058, 0.1184) and C at (0.0434, 0.5196, 0.5652).


No. 20
DFT (PBE) results for crystalline Nd2TmPa at its relaxed geometry.

The formation energy comes out at 0.1763 eV/atom. For the volume, the calculation gives 123.54 Å³/f.u. As for the excess energy over the best structure of this formula in the dataset: 0 meV/atom.

The space group is P4/mmm (No. 123) and the conventional cell measures 3.4473, 3.4473 and 10.3959 Å, with angles of 90.00, 90.00 and 90.00 degrees. The inequivalent atoms are Nd at (0.0000, 0.0000, 0.2351), Tm at (0.5000, 0.5000, 0.5000) and Pa at (0.5000, 0.5000, 0.0000).